UReTe after structural relaxation. Source: the Open Quantum Materials Database, functional PBE-GGA.

Results
* offset from the most stable computed form: 632 meV per atom
* SG: F-43m (216)

abc: 4.743 4.743 4.743
angles: 60.00 60.00 60.00
Element x y z (fractional)
Re: 0.250 0.250 0.250
Te: 0.750 0.750 0.750
U: 0.000 0.000 0.000

Y5ReTe3 after structural relaxation. Source: the Open Quantum Materials Database, functional PBE-GGA.

Results
* offset from the most stable computed form: 144 meV per atom
* SG: P-62m (189)

abc: 8.186 8.186 4.231
angles: 90.00 90.00 120.00
Element x y z (fractional)
Re: 0.000 0.000 0.000
Te: 0.249 0.000 0.500
Te: 0.000 0.249 0.500
Te: 0.751 0.751 0.500
Y: 0.660 0.000 0.000
Y: 0.340 0.340 0.000
Y: 0.000 0.660 0.000
Y: 0.667 0.333 0.500
Y: 0.333 0.667 0.500

Y5ReTe3 after structural relaxation. Source: the Open Quantum Materials Database, functional PBE-GGA.

Results
* offset from the most stable computed form: 0 meV per atom
* SG: P-62m (189)

abc: 8.772 8.772 3.733
angles: 90.00 90.00 120.00
Element x y z (fractional)
Re: 0.000 0.000 0.000
Te: 0.571 0.000 0.000
Te: 0.429 0.429 0.000
Te: 0.000 0.571 0.000
Y: 0.234 0.000 0.500
Y: 0.000 0.234 0.500
Y: 0.667 0.333 0.500
Y: 0.333 0.667 0.500
Y: 0.766 0.766 0.500

ThRe after structural relaxation. Source: the Open Quantum Materials Database, functional PBE-GGA.

Results
* SG: Amm2 (38)
* formation energy: 1.419 eV/f.u.

abc: 3.346 3.354 4.619
angles: 90.00 90.00 120.00
Element x y z (fractional)
Re: 0.667 0.333 0.750
Th: 0.333 0.667 0.250

ThRe after structural relaxation. Source: the Open Quantum Materials Database, functional PBE-GGA.

Results
* SG: F-43m (216)
* formation energy: 3.095 eV/f.u.

abc: 4.424 4.424 4.424
angles: 60.00 60.00 60.00
Element x y z (fractional)
Re: 0.000 0.000 0.000
Th: 0.250 0.250 0.250

ThRe after structural relaxation. Source: the Open Quantum Materials Database, functional PBE-GGA.

Results
* SG: Fm-3m (225)
* formation energy: 1.573 eV/f.u.

abc: 4.116 4.116 4.116
angles: 60.00 60.00 60.00
Element x y z (fractional)
Re: 0.000 0.000 0.000
Th: 0.500 0.500 0.500

TmThRe after structural relaxation. Source: the Open Quantum Materials Database, functional PBE-GGA.

Results
* offset from the most stable computed form: 0 meV per atom
* SG: F-43m (216)
* formation energy: 0.244 eV/f.u.

abc: 4.853 4.853 4.853
angles: 60.00 60.00 60.00
Element x y z (fractional)
Re: 0.000 0.000 0.000
Th: 0.750 0.750 0.750
Tm: 0.250 0.250 0.250

ThURe after structural relaxation. Source: the Open Quantum Materials Database, functional PBE-GGA.

Results
* SG: F-43m (216)
* formation energy: 2.343 eV/f.u.

abc: 4.669 4.669 4.669
angles: 60.00 60.00 60.00
Element x y z (fractional)
Re: 0.250 0.250 0.250
Th: 0.750 0.750 0.750
U: 0.000 0.000 0.000

U2Tl2Re after structural relaxation. Source: the Open Quantum Materials Database, functional PBE-GGA.

Results
* total energy: -75.86 eV/cell
* SG: Cmcm (63)

abc: 3.651 3.651 18.315
angles: 90.00 90.00 90.02
Element x y z (fractional)
Re: 0.787 0.213 0.250
Re: 0.213 0.787 0.750
Tl: 0.769 0.231 0.060
Tl: 0.769 0.231 0.440
Tl: 0.231 0.769 0.560
Tl: 0.231 0.769 0.940
U: 0.286 0.714 0.181
U: 0.286 0.714 0.319
U: 0.714 0.286 0.681
U: 0.714 0.286 0.819

UTlRe after structural relaxation. Source: the Open Quantum Materials Database, functional PBE-GGA.

Results
* offset from the most stable computed form: 0 meV per atom
* SG: F-43m (216)

abc: 4.682 4.682 4.682
angles: 60.00 60.00 60.00
Element x y z (fractional)
Re: 0.000 0.000 0.000
Tl: 0.750 0.750 0.750
U: 0.250 0.250 0.250

UTlRe after structural relaxation. Source: the Open Quantum Materials Database, functional PBE-GGA.

Results
* offset from the most stable computed form: 594 meV per atom
* SG: F-43m (216)

abc: 4.752 4.752 4.752
angles: 60.00 60.00 60.00
Element x y z (fractional)
Re: 0.250 0.250 0.250
Tl: 0.750 0.750 0.750
U: 0.000 0.000 0.000

YTlRe2 after structural relaxation. Source: the Open Quantum Materials Database, functional PBE-GGA.

Results
* total energy: -30.96 eV/cell
* SG: F-43m (216)

abc: 4.760 4.760 4.760
angles: 60.00 60.00 60.00
Element x y z (fractional)
Re: 0.000 0.000 0.000
Re: 0.750 0.750 0.750
Tl: 0.500 0.500 0.500
Y: 0.250 0.250 0.250

| no. | total magnetization (μB per atom) |
| --- | --- |
| 1 | 0.20 |
| 2 | 0.00 |
| 3 | 0.08 |
| 4 | 0.00 |
| 5 | 0.03 |
| 6 | 0.03 |
| 7 | 0.00 |
| 8 | 0.00 |
| 9 | 0.23 |
| 10 | 0.63 |
| 11 | 0.23 |
| 12 | 0.00 |